1.
A geometry-optimized RbCaSi2Ni structure. Source: Alexandria, functional PBE.

a = 5.5730 Å, b = 5.5730 Å, c = 4.7129 Å
α = 90.00°, β = 90.00°, γ = 90.00°
Element x y z (fractional)
Rb1 0.0000 0.0000 0.0000
Ca1 0.5000 0.5000 0.5000
Si1 0.0000 0.5000 0.0000
Si2 0.5000 0.0000 0.0000
Ni1 0.0000 0.0000 0.5000

Calculated values
D(E_F) ... 3.72 states/eV/f.u.
Energy relative to the elements, uncorrected ... 1.574 eV per atom

=====

2.
A geometry-optimized RbCa2TlNi structure. Source: Alexandria, functional PBE.

a = 5.6404 Å, b = 5.6404 Å, c = 5.2212 Å
α = 90.00°, β = 90.00°, γ = 90.00°
Element x y z (fractional)
Rb1 0.0000 0.0000 0.0000
Ca1 0.0000 0.5000 0.5000
Ca2 0.5000 0.0000 0.5000
Tl1 0.5000 0.5000 0.0000
Ni1 0.5000 0.5000 0.5000

Calculated values
D(E_F) ... 3.72 states/eV/f.u.
Formation energy from the elements ... -0.10 kJ/mol of atoms

=====

3.
A geometry-optimized RbCaTlNi2 structure. Source: Alexandria, functional PBE.

a = 4.9044 Å, b = 4.9044 Å, c = 5.6453 Å
α = 90.00°, β = 90.00°, γ = 90.00°
Element x y z (fractional)
Rb1 0.0000 0.0000 0.0000
Ca1 0.0000 0.0000 0.5000
Tl1 0.5000 0.5000 0.5000
Ni1 0.0000 0.5000 0.0000
Ni2 0.5000 0.0000 0.0000

Calculated values
D(E_F) ... 5.24 states/eV/f.u.
Formation energy from the elements ... 138.07 kJ/mol of atoms

=====

4.
A geometry-optimized RbCaTl2Ni structure. Source: Alexandria, functional PBE.

a = 5.3082 Å, b = 5.3082 Å, c = 5.3825 Å
α = 90.00°, β = 90.00°, γ = 90.00°
Element x y z (fractional)
Rb1 0.0000 0.0000 0.0000
Ca1 0.5000 0.5000 0.0000
Tl1 0.0000 0.5000 0.5000
Tl2 0.5000 0.0000 0.5000
Ni1 0.5000 0.5000 0.5000

Calculated values
D(E_F) ... 3.55 states/eV/f.u.
Formation energy from the elements ... -1.11 kJ/mol of atoms

=====

5.
A geometry-optimized RbCaY2Ni structure. Source: Alexandria, functional PBE.

a = 5.6822 Å, b = 5.6822 Å, c = 4.8607 Å
α = 90.00°, β = 90.00°, γ = 90.00°
Element x y z (fractional)
Rb1 0.0000 0.0000 0.0000
Ca1 0.5000 0.5000 0.5000
Y1 0.0000 0.5000 0.0000
Y2 0.5000 0.0000 0.0000
Ni1 0.0000 0.0000 0.5000

Calculated values
D(E_F) ... 2.96 states/eV/f.u.
Formation energy from the elements ... 119.22 kJ/mol of atoms

=====

6.
A geometry-optimized RbCaYNi2 structure. Source: Alexandria, functional PBE.

a = 5.1268 Å, b = 5.1268 Å, c = 6.1109 Å
α = 90.00°, β = 90.00°, γ = 90.00°
Element x y z (fractional)
Rb1 0.0000 0.0000 0.0000
Ca1 0.5000 0.5000 0.0000
Y1 0.5000 0.5000 0.5000
Ni1 0.0000 0.5000 0.5000
Ni2 0.5000 0.0000 0.5000

Calculated values
D(E_F) ... 7.05 states/eV/f.u.
Formation energy from the elements ... 86.16 kJ/mol of atoms

=====

no.,ρ (g/cm³),V (Å³/f.u.)
1,2.7,146.4
2,4.3,166.1
3,5.5,135.8
4,6.5,151.7
5,3.8,156.9
6,3.4,160.6